A plane-wave DFT calculation with GGA+U was carried out for BaCoO3 after structural relaxation.

Calculated values
ρ   5929 kg/m³
E_tot   -6.062 eV/atom
Magnetic moment   1.00 μB/f.u.
Crystal system   orthorhombic

abc: 5.737 5.737 4.798
angles: 90.00 90.00 119.95
Element x y z (fractional)
Ba (0.167, 0.833, 0.750)
Ba (0.833, 0.167, 0.250)
Co (0.500, 0.500, 0.000)
Co (0.500, 0.500, 0.500)
O (0.207, 0.355, 0.750)
O (0.351, 0.649, 0.250)
O (0.355, 0.207, 0.250)
O (0.645, 0.793, 0.750)
O (0.649, 0.351, 0.750)
O (0.793, 0.645, 0.250)